Material: La4SmDy4
Method: DFT, PBE
State: relaxed

Crystal system = tetragonal
Fermi-level density of states = 14.49 states/eV/f.u.
DFT formation energy = 0.028 eV per atom
Space-group type = I4/mmm, No. 139
ΔE to the lowest computed polymorph = 0.000 eV/atom

Lattice parameters (Å, degrees): 8.136 8.136 8.136 95.79 95.79 142.96
Sites, in units of the cell vectors:
La 0.167 0.167 0.334
La 0.167 0.833 0.000
La 0.833 0.167 0.000
La 0.833 0.833 0.666
Sm 0.500 0.500 0.000
Dy 0.163 0.500 0.663
Dy 0.500 0.163 0.663
Dy 0.500 0.837 0.337
Dy 0.837 0.500 0.337

---

Material: La2Sm3Dy7
Method: DFT, PBE
State: relaxed

Crystal system = monoclinic
Fermi-level density of states = 18.68 states/eV/f.u.
DFT formation energy = 0.085 eV per atom
Space-group type = P2/m, No. 10

Lattice parameters (Å, degrees): 6.396 3.549 17.665 90.00 96.31 90.00
Sites, in units of the cell vectors:
La 0.055 0.000 0.173
La 0.945 0.000 0.827
Sm 0.456 0.500 0.841
Sm 0.500 0.000 0.500
Sm 0.544 0.500 0.159
Dy 0.000 0.500 0.500
Dy 0.228 0.000 0.664
Dy 0.256 0.000 0.000
Dy 0.274 0.500 0.338
Dy 0.726 0.500 0.662
Dy 0.744 0.000 0.000
Dy 0.772 0.000 0.336

---

Material: LaSm5Dy4
Method: DFT, PBE
State: relaxed

Crystal system = tetragonal
Fermi-level density of states = 14.00 states/eV/f.u.
DFT formation energy = 0.280 eV per atom
Space-group type = I4, No. 79

Lattice parameters (Å, degrees): 7.952 7.952 7.952 99.12 99.12 133.09
Sites, in units of the cell vectors:
La 0.000 0.000 0.000
Sm 0.460 0.460 0.000
Sm 0.495 0.876 0.916
Sm 0.579 0.495 0.619
Sm 0.876 0.960 0.381
Sm 0.960 0.579 0.084
Dy 0.184 0.883 0.601
Dy 0.282 0.583 0.399
Dy 0.583 0.184 0.301
Dy 0.883 0.282 0.699

---

> The highest Fermi-level density of states belongs to which entry?

La2Sm3Dy7

---

> The highest DFT formation energy belongs to which entry?

LaSm5Dy4

---

> Which value of DFT formation energy does entry 1 give?

0.028 eV per atom